Entry 1:
Ca2Ac4Er after structural relaxation. Source: the Alexandria database, functional PBE.

Cell and atoms, written as CIF:
```
data_Ca2Ac4Er
_cell_length_a 6.329
_cell_length_b 25.506
_cell_length_c 3.760
_cell_angle_alpha 90.00
_cell_angle_beta 90.00
_cell_angle_gamma 90.00
_space_group_name_H-M_alt 'C m m m'
_space_group_IT_number 65
_space_group_name_Hall '-C 2 2'
loop_
_atom_site_label
_atom_site_type_symbol
_atom_site_fract_x
_atom_site_fract_y
_atom_site_fract_z
Ca1 Ca 0.000 0.213 0.000
Ac1 Ac 0.000 0.075 0.500
Ac2 Ac 0.000 0.372 0.000
Er1 Er 0.000 0.500 0.500
```

Calculated values
ΔH_f (0 K) ... 1.3 eV/f.u.
Mass density ... 6.322 Mg/m³
Crystal system ... orthorhombic
Total magnetic moment ... 0.00 Bohr magnetons per cell



Entry 2:
Nb3SiO after structural relaxation. Source: the Alexandria database, functional PBE.

Cell and atoms, written as CIF:
```
data_Nb3SiO
_cell_length_a 4.217
_cell_length_b 4.217
_cell_length_c 4.217
_cell_angle_alpha 90.00
_cell_angle_beta 90.00
_cell_angle_gamma 90.00
_space_group_name_H-M_alt 'P m -3 m'
_space_group_IT_number 221
_space_group_name_Hall '-P 4 2 3'
loop_
_atom_site_label
_atom_site_type_symbol
_atom_site_fract_x
_atom_site_fract_y
_atom_site_fract_z
Nb1 Nb 0.000 0.000 0.500
Si1 Si 0.500 0.500 0.500
O1 O 0.000 0.000 0.000
```

Calculated values
Mass density ... 7.147 Mg/m³
Crystal system ... cubic
E_form (uncorrected) ... -0.742 eV per atom
Energy above the most stable polymorph in this dataset ... 0 meV/atom
Total magnetic moment ... 0.00 Bohr magnetons per cell



Entry 3:
TiCuHPb2 after structural relaxation. Source: the Alexandria database, functional PBE.

Cell and atoms, written as CIF:
```
data_TiCuHPb2
_cell_length_a 5.071
_cell_length_b 5.071
_cell_length_c 4.868
_cell_angle_alpha 90.00
_cell_angle_beta 90.00
_cell_angle_gamma 90.00
_space_group_name_H-M_alt 'P 4/m m m'
_space_group_IT_number 123
_space_group_name_Hall '-P 4 2'
loop_
_atom_site_label
_atom_site_type_symbol
_atom_site_fract_x
_atom_site_fract_y
_atom_site_fract_z
Ti1 Ti 0.000 0.000 0.000
Cu1 Cu 0.000 0.000 0.500
H1 H 0.500 0.500 0.000
Pb1 Pb 0.000 0.500 0.500
```

Calculated values
Mass density ... 6.987 Mg/m³
Crystal system ... tetragonal
Calculated total energy ... -17.6 eV for the cell shown
Total magnetic moment ... 0.00 Bohr magnetons per cell



Entry 4:
NaNdZn2Ge2 after structural relaxation. Source: the Alexandria database, functional PBE.

Cell and atoms, written as CIF:
```
data_NaNdZn2Ge2
_cell_length_a 4.3288
_cell_length_b 4.3288
_cell_length_c 7.9817
_cell_angle_alpha 90.00
_cell_angle_beta 90.00
_cell_angle_gamma 120.00
_space_group_name_H-M_alt 'P -3 m 1'
_space_group_IT_number 164
_space_group_name_Hall '-P 3 2"'
loop_
_atom_site_label
_atom_site_type_symbol
_atom_site_fract_x
_atom_site_fract_y
_atom_site_fract_z
Na1 Na 0.0000 0.0000 0.0000
Nd1 Nd 0.0000 0.0000 0.5000
Zn1 Zn 0.3333 0.6667 0.7603
Ge1 Ge 0.3333 0.6667 0.2637
```

Calculated values
ΔH_f (0 K) ... -2.4 eV/f.u.
Mass density ... 5.684 Mg/m³
Crystal system ... trigonal
Total magnetic moment ... 0.00 Bohr magnetons per cell



Entry 5:
LiZnBi2 after structural relaxation. Source: the Alexandria database, functional PBE.

Cell and atoms, written as CIF:
```
data_LiZnBi2
_cell_length_a 3.829
_cell_length_b 3.829
_cell_length_c 6.645
_cell_angle_alpha 90.00
_cell_angle_beta 90.00
_cell_angle_gamma 90.00
_space_group_name_H-M_alt 'P 4/m m m'
_space_group_IT_number 123
_space_group_name_Hall '-P 4 2'
loop_
_atom_site_label
_atom_site_type_symbol
_atom_site_fract_x
_atom_site_fract_y
_atom_site_fract_z
Li1 Li 0.000 0.000 0.000
Zn1 Zn 0.000 0.000 0.500
Bi1 Bi 0.500 0.500 0.255
```

Calculated values
ΔH_f (0 K) ... -0.2 eV/f.u.
Mass density ... 8.357 Mg/m³
Crystal system ... tetragonal
Total magnetic moment ... 0.00 Bohr magnetons per cell



Entry 6:
YInP2O after structural relaxation. Source: the Alexandria database, functional PBE.

Cell and atoms, written as CIF:
```
data_YInP2O
_cell_length_a 5.470
_cell_length_b 5.470
_cell_length_c 4.207
_cell_angle_alpha 90.00
_cell_angle_beta 90.00
_cell_angle_gamma 90.00
_space_group_name_H-M_alt 'P 4/m m m'
_space_group_IT_number 123
_space_group_name_Hall '-P 4 2'
loop_
_atom_site_label
_atom_site_type_symbol
_atom_site_fract_x
_atom_site_fract_y
_atom_site_fract_z
Y1 Y 0.000 0.000 0.000
In1 In 0.500 0.500 0.500
P1 P 0.000 0.500 0.000
O1 O 0.000 0.000 0.500
```

Calculated values
Mass density ... 3.716 Mg/m³
Crystal system ... tetragonal
E_form (uncorrected) ... -0.223 eV per atom
Energy above the most stable polymorph in this dataset ... 0 meV/atom
Total magnetic moment ... 1.16 Bohr magnetons per cell



Entry 7:
Dy2HoSc2 after structural relaxation. Source: the Alexandria database, functional PBE.

Cell and atoms, written as CIF:
```
data_Dy2HoSc2
_cell_length_a 15.794
_cell_length_b 5.701
_cell_length_c 6.572
_cell_angle_alpha 90.00
_cell_angle_beta 103.96
_cell_angle_gamma 90.00
_space_group_name_H-M_alt 'C 1 2/c 1'
_space_group_IT_number 15
_space_group_name_Hall '-C 2yc'
loop_
_atom_site_label
_atom_site_type_symbol
_atom_site_fract_x
_atom_site_fract_y
_atom_site_fract_z
Dy1 Dy 0.199 0.036 0.080
Ho1 Ho 0.000 0.073 0.250
Sc1 Sc 0.091 0.433 0.659
```

Calculated values
ΔH_f (0 K) ... 0.5 eV/f.u.
Mass density ... 6.706 Mg/m³
Crystal system ... monoclinic
Energy above the most stable polymorph in this dataset ... 0 meV/atom
Total magnetic moment ... 0.00 Bohr magnetons per cell



Entry 8:
HfTi2HPt after structural relaxation. Source: the Alexandria database, functional PBE.

Cell and atoms, written as CIF:
```
data_HfTi2HPt
_cell_length_a 4.000
_cell_length_b 4.000
_cell_length_c 4.448
_cell_angle_alpha 90.00
_cell_angle_beta 90.00
_cell_angle_gamma 90.00
_space_group_name_H-M_alt 'P 4/m m m'
_space_group_IT_number 123
_space_group_name_Hall '-P 4 2'
loop_
_atom_site_label
_atom_site_type_symbol
_atom_site_fract_x
_atom_site_fract_y
_atom_site_fract_z
Hf1 Hf 0.000 0.000 0.000
Ti1 Ti 0.000 0.500 0.500
H1 H 0.000 0.000 0.500
Pt1 Pt 0.500 0.500 0.000
```

Calculated values
Mass density ... 10.975 Mg/m³
Crystal system ... tetragonal
Calculated total energy ... -37.8 eV for the cell shown
Total magnetic moment ... 0.00 Bohr magnetons per cell



Entry 9:
Zr5V5Si6 after structural relaxation. Source: the Alexandria database, functional PBE.

Cell and atoms, written as CIF:
```
data_Zr5V5Si6
_cell_length_a 5.119
_cell_length_b 12.971
_cell_length_c 7.734
_cell_angle_alpha 90.00
_cell_angle_beta 90.00
_cell_angle_gamma 90.00
_space_group_name_H-M_alt 'A m m 2'
_space_group_IT_number 38
_space_group_name_Hall 'A 2 -2'
loop_
_atom_site_label
_atom_site_type_symbol
_atom_site_fract_x
_atom_site_fract_y
_atom_site_fract_z
Zr1 Zr 0.000 0.000 0.000
Zr2 Zr 0.000 0.119 0.380
Zr3 Zr 0.500 0.122 0.138
V1 V 0.251 0.168 0.761
V2 V 0.500 0.000 0.531
Si1 Si 0.000 0.000 0.660
Si2 Si 0.000 0.203 0.058
Si3 Si 0.500 0.000 0.851
Si4 Si 0.500 0.195 0.465
```

Calculated values
Mass density ... 5.687 Mg/m³
Crystal system ... orthorhombic
E_form (uncorrected) ... -0.693 eV per atom
Total magnetic moment ... 1.84 Bohr magnetons per cell



Entry 10:
LaPr2DyEr5 after structural relaxation. Source: the Alexandria database, functional PBE.

Cell and atoms, written as CIF:
```
data_LaPr2DyEr5
_cell_length_a 8.636
_cell_length_b 8.636
_cell_length_c 15.753
_cell_angle_alpha 90.00
_cell_angle_beta 90.00
_cell_angle_gamma 90.00
_space_group_name_H-M_alt 'I 4/m c m'
_space_group_IT_number 140
_space_group_name_Hall '-I 4 2c'
loop_
_atom_site_label
_atom_site_type_symbol
_atom_site_fract_x
_atom_site_fract_y
_atom_site_fract_z
La1 La 0.000 0.500 0.250
Pr1 Pr 0.119 0.381 0.000
Dy1 Dy 0.000 0.000 0.250
Er1 Er 0.000 0.000 0.000
Er2 Er 0.209 0.291 0.361
```

Calculated values
ΔH_f (0 K) ... 2.3 eV/f.u.
Mass density ... 8.025 Mg/m³
Crystal system ... tetragonal
Total magnetic moment ... 0.00 Bohr magnetons per cell



Entry 11:
Tb2DyHoP4 after structural relaxation. Source: the Alexandria database, functional PBE.

Cell and atoms, written as CIF:
```
data_Tb2DyHoP4
_cell_length_a 6.949
_cell_length_b 4.014
_cell_length_c 6.949
_cell_angle_alpha 90.00
_cell_angle_beta 109.46
_cell_angle_gamma 90.00
_space_group_name_H-M_alt 'P 1 2/m 1'
_space_group_IT_number 10
_space_group_name_Hall '-P 2y'
loop_
_atom_site_label
_atom_site_type_symbol
_atom_site_fract_x
_atom_site_fract_y
_atom_site_fract_z
Tb1 Tb 0.000 0.000 0.000
Tb2 Tb 0.000 0.500 0.500
Dy1 Dy 0.500 0.000 0.500
Ho1 Ho 0.500 0.500 0.000
P1 P 0.252 0.000 0.751
P2 P 0.252 0.500 0.250
```

Calculated values
ΔH_f (0 K) ... -12.9 eV/f.u.
Mass density ... 6.989 Mg/m³
Crystal system ... monoclinic
Total magnetic moment ... 0.00 Bohr magnetons per cell



Entry 12:
Zn2InSb after structural relaxation. Source: the Alexandria database, functional PBE.

Cell and atoms, written as CIF:
```
data_Zn2InSb
_cell_length_a 7.745
_cell_length_b 7.745
_cell_length_c 6.193
_cell_angle_alpha 90.00
_cell_angle_beta 90.00
_cell_angle_gamma 90.00
_space_group_name_H-M_alt 'I -4 2 d'
_space_group_IT_number 122
_space_group_name_Hall 'I -4 2bw'
loop_
_atom_site_label
_atom_site_type_symbol
_atom_site_fract_x
_atom_site_fract_y
_atom_site_fract_z
Zn1 Zn 0.236 0.750 0.125
In1 In 0.000 0.000 0.500
Sb1 Sb 0.000 0.000 0.000
```

Calculated values
Mass density ... 6.569 Mg/m³
Crystal system ... tetragonal
E_form (uncorrected) ... 0.162 eV per atom
Energy above the most stable polymorph in this dataset ... 71 meV/atom
Total magnetic moment ... 0.00 Bohr magnetons per cell



> What is the mass density in the tenth record?

8.025 Mg/m³